1.
Here is crystalline LiCd2Au at its relaxed geometry from Alexandria via LeMat-Bulk. Energies are from GGA-PBEsol.

```
LiCd2Au
1.0
4.634 0.000 0.000
2.317 4.013 0.000
2.317 1.338 3.783
Cd Li Au
2 1 1
Cartesian
2.317 1.338 0.946
6.951 4.013 2.838
0.000 0.000 0.000
4.634 2.675 1.892
```

Values from the calculation:
Energy relative to the lowest polymorph listed for this composition, meV per atom: 0
DOS at the Fermi energy, states/eV/atom: 0.226
Final energy, eV/cell: -9.7

2.
Here is crystalline LiCd2Au at its relaxed geometry from Alexandria via LeMat-Bulk. Energies are from GGA-PBEsol.

```
LiCd2Au
1.0
3.136 0.000 0.000
0.000 3.544 0.000
0.000 0.000 6.348
Cd Li Au
2 1 1
Cartesian
1.568 1.772 1.723
0.000 0.000 6.240
0.000 0.000 3.324
1.568 1.772 4.582
```

Values from the calculation:
Energy relative to the lowest polymorph listed for this composition, meV per atom: 79
DOS at the Fermi energy, states/eV/atom: 0.295
Final energy, eV/cell: -9.4

3.
Here is crystalline LiCdAu2 at its relaxed geometry from Alexandria via LeMat-Bulk. Energies are from GGA-PBEsol.

```
LiCdAu2
1.0
2.918 0.000 0.010
0.000 4.699 0.000
-0.018 0.000 4.920
Li Au Cd
1 2 1
Cartesian
1.079 2.349 4.006
2.536 0.000 4.641
2.549 2.349 1.461
1.087 0.000 2.218
```

Values from the calculation:
DOS at the Fermi energy, states/eV/atom: 0.235
Final energy, eV/cell: -12.4

4.
Here is crystalline LiCd2Au at its relaxed geometry from Alexandria via LeMat-Bulk. Energies are from GGA-PBEsol.

```
LiCd2Au
1.0
4.196 0.000 0.000
0.000 4.023 0.000
0.000 0.000 4.197
Au Cd Li
1 2 1
Cartesian
0.000 2.011 2.099
2.098 0.000 2.099
0.000 0.000 0.000
2.098 2.011 0.000
```

Values from the calculation:
Energy relative to the lowest polymorph listed for this composition, meV per atom: 47
DOS at the Fermi energy, states/eV/atom: 0.354
Final energy, eV/cell: -9.5

5.
Here is crystalline Li2CdAu at its relaxed geometry from Alexandria via LeMat-Bulk. Energies are from GGA-PBEsol.

```
Li2CdAu
1.0
-0.359 2.206 2.829
-4.111 0.311 -0.764
-0.711 -3.301 2.484
Cd Li Au
1 2 1
Cartesian
0.000 0.000 0.000
-0.535 -0.548 2.657
-2.235 1.258 1.033
-2.411 -1.495 0.860
```

Values from the calculation:
Energy relative to the lowest polymorph listed for this composition, meV per atom: 24
DOS at the Fermi energy, states/eV/atom: 0.288
Final energy, eV/cell: -10.6

6.
Here is crystalline Li2CdAu at its relaxed geometry from Alexandria via LeMat-Bulk. Energies are from GGA-PBEsol.

```
Li2CdAu
1.0
4.037 0.000 0.002
0.000 4.038 0.002
-2.017 -2.017 3.969
Au Li Cd
1 2 1
Cartesian
0.003 2.019 3.971
0.000 2.019 0.001
2.020 2.019 1.988
-0.001 0.003 1.985
```

Values from the calculation:
Energy relative to the lowest polymorph listed for this composition, meV per atom: 0
DOS at the Fermi energy, states/eV/atom: 0.309
Final energy, eV/cell: -10.7

7.
Here is crystalline LiCdAu2 at its relaxed geometry from Alexandria via LeMat-Bulk. Energies are from GGA-PBEsol.

```
LiCdAu2
1.0
-1.090 -2.478 1.201
-1.052 -1.217 -3.465
5.237 -2.627 -0.667
Li Cd Au
1 1 2
Cartesian
1.547 -3.161 -1.465
-1.071 -1.848 -1.132
1.388 -0.696 -0.177
3.849 -1.931 -0.490
```

Values from the calculation:
DOS at the Fermi energy, states/eV/atom: 0.256
Final energy, eV/cell: -12.4

8.
Here is crystalline Li2CdAu at its relaxed geometry from Alexandria via LeMat-Bulk. Energies are from GGA-PBEsol.

```
Li2CdAu
1.0
-0.554 -2.611 1.034
3.954 -0.938 -0.249
0.790 1.927 5.287
Li Cd Au
2 1 1
Cartesian
0.001 0.002 0.004
1.912 -1.256 1.814
2.296 -0.320 4.384
0.375 0.916 2.514
```

Values from the calculation:
Energy relative to the lowest polymorph listed for this composition, meV per atom: 82
DOS at the Fermi energy, states/eV/atom: 0.286
Final energy, eV/cell: -10.4

9.
Here is crystalline Li2CdAu at its relaxed geometry from Alexandria via LeMat-Bulk. Energies are from GGA-PBEsol.

```
Li2CdAu
1.0
-1.673 -2.804 -0.510
-0.417 -0.345 3.260
-5.212 3.170 -0.331
Li Au Cd
2 1 1
Cartesian
-2.447 -0.721 1.286
-0.051 0.031 -0.003
-2.453 1.492 -0.156
-4.956 0.805 1.126
```

Values from the calculation:
Energy relative to the lowest polymorph listed for this composition, meV per atom: 107
DOS at the Fermi energy, states/eV/atom: 0.253
Final energy, eV/cell: -10.3

10.
Here is crystalline LiCd3Au at its relaxed geometry from Alexandria via LeMat-Bulk. Energies are from GGA-PBEsol.

```
LiCd3Au
1.0
5.202 0.000 0.000
0.000 5.202 0.000
0.000 0.000 5.202
Cd Au Li
3 1 1
Cartesian
0.000 0.000 2.601
2.601 0.000 0.000
0.000 2.601 0.000
0.000 0.000 0.000
2.601 2.601 2.601
```

Values from the calculation:
Energy relative to the lowest polymorph listed for this composition, meV per atom: 0
DOS at the Fermi energy, states/eV/atom: 0.399
Final energy, eV/cell: -8.9

11.
Here is crystalline LiCd2Au at its relaxed geometry from Alexandria via LeMat-Bulk. Energies are from GGA-PBEsol.

```
LiCd2Au
1.0
2.955 0.000 0.000
-1.477 4.788 0.041
0.000 -0.811 5.052
Cd Li Au
2 1 1
Cartesian
0.000 2.153 1.285
1.477 1.824 3.808
0.000 -0.405 2.526
1.477 0.000 0.000
```

Values from the calculation:
Energy relative to the lowest polymorph listed for this composition, meV per atom: 94
DOS at the Fermi energy, states/eV/atom: 0.297
Final energy, eV/cell: -9.3

12.
Here is crystalline MgCd2Au at its relaxed geometry from Alexandria via LeMat-Bulk. Energies are from GGA-PBEsol.

```
MgCd2Au
1.0
-0.519 3.946 2.587
-3.406 0.245 3.297
1.150 -0.013 4.606
Au Cd Mg
1 2 1
Cartesian
-1.388 2.089 5.245
0.000 0.000 0.000
-2.082 3.133 7.868
-0.694 1.044 2.623
```

Values from the calculation:
DOS at the Fermi energy, states/eV/atom: 0.217
Final energy, eV/cell: -9.0

Among the records above, which one has the lowest DOS at the Fermi energy? MgCd2Au